! CdGaSeN2, relaxed, DFT PBE-GGA; values from VASP
! - E (eV/atom) = -3.27
! - formation energy (no corrections) (eV/atom) = 1.54
! - ΔE to the lowest computed polymorph (eV/atom) = 0.549
! - crystal system = tetragonal
! - size of the total moment (μB/atom) = 0.70
&SYSTEM
  ibrav = 0, nat = 5, ntyp = 4
/
ATOMIC_SPECIES
Cd 112.41 Cd.upf
Ga 69.72 Ga.upf
Se 78.96 Se.upf
N 14.01 N.upf
CELL_PARAMETERS angstrom
4.2568 0.0000 0.0000
0.0000 4.2568 0.0000
0.0000 0.0000 5.9422
ATOMIC_POSITIONS crystal
Cd 0.0000 0.0000 0.0000
Ga 0.5000 0.5000 0.5000
Se 0.0000 0.0000 0.5000
N 0.0000 0.5000 0.0000
N 0.5000 0.0000 0.0000

! Pm8SiTe3Se4, relaxed, DFT PBE-GGA; values from VASP
! - E (eV/atom) = -5.75
! - formation energy (no corrections) (eV/atom) = -1.57
! - crystal system = trigonal
! - size of the total moment (μB/atom) = 0.00
&SYSTEM
  ibrav = 0, nat = 16, ntyp = 4
/
ATOMIC_SPECIES
Pm 145.00 Pm.upf
Si 28.09 Si.upf
Te 127.60 Te.upf
Se 78.96 Se.upf
CELL_PARAMETERS angstrom
4.3258 2.4975 7.0124
-4.3258 2.4975 7.0124
0.0000 -4.9950 7.0124
ATOMIC_POSITIONS crystal
Pm 0.2244 0.7594 0.7594
Pm 0.2398 0.2398 0.2398
Pm 0.2406 0.2406 0.7756
Pm 0.2406 0.7756 0.2406
Pm 0.7594 0.2244 0.7594
Pm 0.7594 0.7594 0.2244
Pm 0.7602 0.7602 0.7602
Pm 0.7756 0.2406 0.2406
Si 0.0000 0.0000 0.0000
Te 0.0000 0.5000 0.5000
Te 0.5000 0.0000 0.5000
Te 0.5000 0.5000 0.0000
Se 0.0000 0.0000 0.5000
Se 0.0000 0.5000 0.0000
Se 0.5000 0.0000 0.0000
Se 0.5000 0.5000 0.5000

! Na3HfSc3Te8, relaxed, DFT PBE-GGA; values from VASP
! - E (eV/atom) = -4.98
! - formation energy (no corrections) (eV/atom) = -1.11
! - crystal system = trigonal
! - size of the total moment (μB/atom) = 0.00
&SYSTEM
  ibrav = 0, nat = 15, ntyp = 4
/
ATOMIC_SPECIES
Na 22.99 Na.upf
Hf 178.49 Hf.upf
Sc 44.96 Sc.upf
Te 127.60 Te.upf
CELL_PARAMETERS angstrom
4.1811 2.4139 7.6506
-4.1811 2.4139 7.6506
0.0000 -4.8279 7.6506
ATOMIC_POSITIONS crystal
Na 0.0000 0.5000 0.5000
Na 0.5000 0.0000 0.5000
Na 0.5000 0.5000 0.0000
Hf 0.5000 0.5000 0.5000
Sc 0.0000 0.0000 0.5000
Sc 0.0000 0.5000 0.0000
Sc 0.5000 0.0000 0.0000
Te 0.2400 0.2400 0.2400
Te 0.2412 0.7388 0.7388
Te 0.2612 0.2612 0.7588
Te 0.2612 0.7588 0.2612
Te 0.7388 0.2412 0.7388
Te 0.7388 0.7388 0.2412
Te 0.7588 0.2612 0.2612
Te 0.7600 0.7600 0.7600

! FeSi2HgPd, relaxed, DFT PBE-GGA; values from VASP
! - E (eV/atom) = -3.46
! - formation energy (no corrections) (eV/atom) = 1.50
! - crystal system = tetragonal
! - size of the total moment (μB/atom) = 0.61
&SYSTEM
  ibrav = 0, nat = 5, ntyp = 4
/
ATOMIC_SPECIES
Fe 55.84 Fe.upf
Si 28.09 Si.upf
Hg 200.59 Hg.upf
Pd 106.42 Pd.upf
CELL_PARAMETERS angstrom
4.8493 0.0000 0.0000
0.0000 4.8493 0.0000
0.0000 0.0000 4.9083
ATOMIC_POSITIONS crystal
Fe 0.0000 0.0000 0.0000
Si 0.0000 0.5000 0.5000
Si 0.5000 0.0000 0.5000
Hg 0.0000 0.0000 0.5000
Pd 0.5000 0.5000 0.0000

! Li2HgBr, relaxed, DFT PBE-GGA; values from VASP
! - E (eV/atom) = -2.10
! - formation energy (no corrections) (eV/atom) = -0.65
! - ΔE to the lowest computed polymorph (eV/atom) = 0.123
! - crystal system = monoclinic
! - size of the total moment (μB/atom) = 0.00
&SYSTEM
  ibrav = 0, nat = 8, ntyp = 3
/
ATOMIC_SPECIES
Li 6.94 Li.upf
Hg 200.59 Hg.upf
Br 79.90 Br.upf
CELL_PARAMETERS angstrom
6.8170 0.0000 0.0000
0.0000 6.8170 0.0000
-0.0360 0.0000 3.6872
ATOMIC_POSITIONS crystal
Li 0.2500 0.2500 0.0000
Li 0.2500 0.7500 0.0000
Li 0.7500 0.2500 0.0000
Li 0.7500 0.7500 0.0000
Hg 0.0000 0.0000 0.5000
Hg 0.5000 0.5000 0.5000
Br 0.0000 0.5000 0.5000
Br 0.5000 0.0000 0.5000

! ErSbPd6, relaxed, DFT PBE-GGA; values from VASP
! - E (eV/atom) = -5.36
! - formation energy (no corrections) (eV/atom) = -0.38
! - ΔE to the lowest computed polymorph (eV/atom) = 0.257
! - crystal system = monoclinic
! - size of the total moment (μB/atom) = 0.00
&SYSTEM
  ibrav = 0, nat = 16, ntyp = 3
/
ATOMIC_SPECIES
Er 167.26 Er.upf
Sb 121.76 Sb.upf
Pd 106.42 Pd.upf
CELL_PARAMETERS angstrom
8.1523 0.0000 0.0000
0.0000 5.5128 0.0000
-2.6437 0.0000 6.9041
ATOMIC_POSITIONS crystal
Er 0.0000 0.0000 0.0000
Er 0.5000 0.5000 0.0000
Sb 0.0000 0.5000 0.5000
Sb 0.5000 0.0000 0.5000
Pd 0.1537 0.0000 0.4448
Pd 0.1904 0.2411 0.7978
Pd 0.1904 0.7589 0.7978
Pd 0.3096 0.2589 0.2022
Pd 0.3096 0.7411 0.2022
Pd 0.3463 0.5000 0.5552
Pd 0.6537 0.5000 0.4448
Pd 0.6904 0.2589 0.7978
Pd 0.6904 0.7411 0.7978
Pd 0.8096 0.2411 0.2022
Pd 0.8096 0.7589 0.2022
Pd 0.8463 0.0000 0.5552

! Th3TcGe2, relaxed, DFT PBE-GGA; values from VASP
! - E (eV/atom) = -7.56
! - energy of formation from the pure elements (eV/atom) = -0.58
! - ΔE to the lowest computed polymorph (eV/atom) = 0.000
! - crystal system = orthorhombic
! - size of the total moment (μB/atom) = 0.00
&SYSTEM
  ibrav = 0, nat = 24, ntyp = 3
/
ATOMIC_SPECIES
Th 232.04 Th.upf
Tc 98.00 Tc.upf
Ge 72.64 Ge.upf
CELL_PARAMETERS angstrom
12.0922 0.0000 0.0000
0.0000 4.3416 0.0000
0.0000 0.0000 11.5410
ATOMIC_POSITIONS crystal
Th 0.0511 0.2500 0.1271
Th 0.1223 0.7500 0.5587
Th 0.2240 0.2500 0.7969
Th 0.2760 0.7500 0.2969
Th 0.3777 0.2500 0.0587
Th 0.4489 0.7500 0.6271
Th 0.5511 0.2500 0.3729
Th 0.6223 0.7500 0.9413
Th 0.7240 0.2500 0.7031
Th 0.7760 0.7500 0.2031
Th 0.8777 0.2500 0.4413
Th 0.9489 0.7500 0.8729
Tc 0.1320 0.2500 0.3649
Tc 0.3680 0.7500 0.8649
Tc 0.6320 0.2500 0.1351
Tc 0.8680 0.7500 0.6351
Ge 0.0128 0.7500 0.3153
Ge 0.1915 0.7500 0.0047
Ge 0.3085 0.2500 0.5047
Ge 0.4872 0.2500 0.8153
Ge 0.5128 0.7500 0.1847
Ge 0.6915 0.7500 0.4953
Ge 0.8085 0.2500 0.9953
Ge 0.9872 0.2500 0.6847

! LuCdPt2, relaxed, DFT PBE-GGA; values from VASP
! - E (eV/atom) = -5.23
! - energy of formation from the pure elements (eV/atom) = -0.86
! - crystal system = tetragonal
! - size of the total moment (μB/atom) = 0.00
&SYSTEM
  ibrav = 0, nat = 4, ntyp = 3
/
ATOMIC_SPECIES
Lu 174.97 Lu.upf
Cd 112.41 Cd.upf
Pt 195.08 Pt.upf
CELL_PARAMETERS angstrom
4.5365 0.0000 0.0000
0.0000 4.5365 0.0000
0.0000 0.0000 3.6378
ATOMIC_POSITIONS crystal
Lu 0.0000 0.0000 0.0000
Cd 0.5000 0.5000 0.0000
Pt 0.0000 0.5000 0.5000
Pt 0.5000 0.0000 0.5000

! Tb5Ho2Hg, relaxed, DFT PBE-GGA; values from VASP
! - E (eV/atom) = -4.13
! - energy of formation from the pure elements (eV/atom) = -0.05
! - crystal system = triclinic
! - size of the total moment (μB/atom) = 0.00
&SYSTEM
  ibrav = 0, nat = 8, ntyp = 3
/
ATOMIC_SPECIES
Tb 158.93 Tb.upf
Ho 164.93 Ho.upf
Hg 200.59 Hg.upf
CELL_PARAMETERS angstrom
6.9049 0.0000 0.0000
-0.2839 6.9011 0.0000
-3.3261 -3.4353 5.0475
ATOMIC_POSITIONS crystal
Tb 0.0000 0.0000 0.0000
Tb 0.0114 0.4924 0.4824
Tb 0.4407 0.9221 0.4723
Tb 0.4643 0.4542 0.0006
Tb 0.4854 0.9688 0.9970
Ho 0.5487 0.4591 0.5506
Ho 0.9462 0.9857 0.4746
Hg 0.9837 0.4628 0.9892

! La2TbGe4Pt3, relaxed, DFT PBE-GGA; values from VASP
! - E (eV/atom) = -6.06
! - energy of formation from the pure elements (eV/atom) = -0.96
! - crystal system = tetragonal
! - size of the total moment (μB/atom) = 0.00
&SYSTEM
  ibrav = 0, nat = 10, ntyp = 4
/
ATOMIC_SPECIES
La 138.91 La.upf
Tb 158.93 Tb.upf
Ge 72.64 Ge.upf
Pt 195.08 Pt.upf
CELL_PARAMETERS angstrom
4.3686 0.0000 0.0000
0.0000 4.3686 0.0000
0.0000 0.0000 11.2658
ATOMIC_POSITIONS crystal
La 0.0000 0.5000 0.2304
La 0.5000 0.0000 0.7696
Tb 0.0000 0.0000 0.5000
Ge 0.0000 0.0000 0.0000
Ge 0.0000 0.5000 0.6624
Ge 0.5000 0.0000 0.3376
Ge 0.5000 0.5000 0.0000
Pt 0.0000 0.5000 0.8846
Pt 0.5000 0.0000 0.1154
Pt 0.5000 0.5000 0.5000

! RuS, relaxed, DFT PBE-GGA; values from VASP
! - E (eV/atom) = -6.59
! - formation energy (no corrections) (eV/atom) = 0.11
! - crystal system = cubic
! - size of the total moment (μB/atom) = 0.00
&SYSTEM
  ibrav = 0, nat = 12, ntyp = 2
/
ATOMIC_SPECIES
Ru 101.07 Ru.upf
S 32.06 S.upf
CELL_PARAMETERS angstrom
6.4162 0.0000 0.0000
0.0000 6.4162 0.0000
0.0000 0.0000 6.4162
ATOMIC_POSITIONS crystal
Ru 0.0000 0.2500 0.5000
Ru 0.0000 0.7500 0.5000
Ru 0.2500 0.5000 0.0000
Ru 0.5000 0.0000 0.2500
Ru 0.5000 0.0000 0.7500
Ru 0.7500 0.5000 0.0000
S 0.0000 0.5000 0.2500
S 0.0000 0.5000 0.7500
S 0.2500 0.0000 0.5000
S 0.5000 0.2500 0.0000
S 0.5000 0.7500 0.0000
S 0.7500 0.0000 0.5000